Record 1
Material: Nd2MnCuSe5
Method: DFT, PBE
State: optimized geometry

CIF file:
```
data_Nd2MnCuSe5
_cell_length_a 4.018
_cell_length_b 17.459
_cell_length_c 11.728
_cell_angle_alpha 90.00
_cell_angle_beta 90.00
_cell_angle_gamma 90.00
_symmetry_space_group_name_H-M 'C m c 21'
_symmetry_Int_Tables_number 36
loop_
_symmetry_equiv_pos_as_xyz
'x,y,z'
'-x,-y,z+1/2'
'-x,y,z'
'x,-y,z+1/2'
'x+1/2,y+1/2,z'
'-x+1/2,-y+1/2,z+1/2'
'-x+1/2,y+1/2,z'
'x+1/2,-y+1/2,z+1/2'
loop_
_atom_site_label
_atom_site_type_symbol
_atom_site_fract_x
_atom_site_fract_y
_atom_site_fract_z
Nd1 Nd 0.000 0.113 0.000
Nd2 Nd 0.000 0.124 0.615
Mn1 Mn 0.000 0.195 0.322
Cu1 Cu 0.000 0.423 0.763
Se1 Se 0.000 0.054 0.370
Se2 Se 0.000 0.286 0.971
Se3 Se 0.000 0.301 0.658
Se4 Se 0.000 0.349 0.310
Se5 Se 0.000 0.498 0.590
```

Summary:
N(E_F)	0.386	states/eV/atom
ρ	6473	kg/m³

***

Record 2
Material: SbW2Br
Method: DFT, PBE
State: optimized geometry

CIF file:
```
data_SbW2Br
_cell_length_a 3.395
_cell_length_b 4.497
_cell_length_c 12.642
_cell_angle_alpha 90.00
_cell_angle_beta 90.00
_cell_angle_gamma 90.00
_symmetry_space_group_name_H-M 'I m m 2'
_symmetry_Int_Tables_number 44
loop_
_symmetry_equiv_pos_as_xyz
'x,y,z'
'-x,-y,z'
'-x,y,z'
'x,-y,z'
'x+1/2,y+1/2,z+1/2'
'-x+1/2,-y+1/2,z+1/2'
'-x+1/2,y+1/2,z+1/2'
'x+1/2,-y+1/2,z+1/2'
loop_
_atom_site_label
_atom_site_type_symbol
_atom_site_fract_x
_atom_site_fract_y
_atom_site_fract_z
Sb1 Sb 0.000 0.000 0.000
W1 W 0.000 0.000 0.506
W2 W 0.000 0.500 0.865
Br1 Br 0.000 0.500 0.234
```

Summary:
N(E_F)	0.633	states/eV/atom
offset from the most stable computed form	562	meV/atom
ρ	9796	kg/m³

***

Record 3
Material: OF3
Method: DFT, PBE
State: optimized geometry

CIF file:
```
data_OF3
_cell_length_a 3.366
_cell_length_b 5.394
_cell_length_c 6.651
_cell_angle_alpha 107.78
_cell_angle_beta 90.46
_cell_angle_gamma 93.67
_symmetry_space_group_name_H-M 'P 1'
_symmetry_Int_Tables_number 1
loop_
_symmetry_equiv_pos_as_xyz
'x,y,z'
loop_
_atom_site_label
_atom_site_type_symbol
_atom_site_fract_x
_atom_site_fract_y
_atom_site_fract_z
O1 O 0.000 0.000 0.000
O2 O 0.072 0.402 0.496
F1 F 0.268 0.613 0.463
F2 F 0.298 0.360 0.779
F3 F 0.435 0.117 0.512
F4 F 0.692 0.305 0.151
F5 F 0.794 0.898 0.803
F6 F 0.936 0.805 0.101
```

Summary:
offset from the most stable computed form	28	meV/atom
ρ	2114	kg/m³

***

Total moment for every record listed, in sequence, given in μB/cell: 16.0; 0.0; 4.0.
Energy relative to the elements, uncorrected for every record listed, in sequence, given in eV/atom: -1.1728; 0.7621; 0.2272.